[1]
Here is a relaxed structure of HoCrP2O8 from Alexandria via LeMat-Bulk. Energies are from PBE+U.

Cell: 5.607 5.607 5.607 Å, 106.41 106.41 115.78°
Atoms (fractional coordinates):
Ho (0.000, 0.000, 0.000)
Cr (0.250, 0.750, 0.500)
P (0.500, 0.500, 0.000)
P (0.750, 0.250, 0.500)
O (0.336, 0.154, 0.818)
O (0.336, 0.518, 0.182)
O (0.407, 0.082, 0.325)
O (0.482, 0.664, 0.818)
O (0.757, 0.082, 0.675)
O (0.846, 0.664, 0.182)
O (0.918, 0.243, 0.325)
O (0.918, 0.593, 0.675)

Properties
total energy = -7.63 eV per atom
crystal system = tetragonal
symmetry = No. 119

---

[2]
Here is a relaxed structure of HoPaCr2O8 from Alexandria via LeMat-Bulk. Energies are from PBE+U.

Cell: 5.976 5.976 5.976 Å, 107.09 107.09 114.34°
Atoms (fractional coordinates):
Ho (0.000, 0.000, 0.000)
Pa (0.250, 0.750, 0.500)
Cr (0.500, 0.500, 0.000)
Cr (0.750, 0.250, 0.500)
O (0.316, 0.127, 0.812)
O (0.316, 0.504, 0.188)
O (0.376, 0.057, 0.319)
O (0.496, 0.684, 0.812)
O (0.738, 0.057, 0.681)
O (0.873, 0.684, 0.188)
O (0.943, 0.262, 0.319)
O (0.943, 0.624, 0.681)

Properties
total energy = -8.29 eV per atom
crystal system = tetragonal
symmetry = No. 119

---

[3]
Here is a relaxed structure of Ho2PaCrO8 from Alexandria via LeMat-Bulk. Energies are from PBE+U.

Cell: 4.967 4.967 6.692 Å, 90.00 90.00 90.93°
Atoms (fractional coordinates):
Ho (0.000, 0.000, 0.243)
Ho (0.000, 0.000, 0.757)
Pa (0.500, 0.500, 0.500)
Cr (0.500, 0.500, 0.000)
O (0.194, 0.194, 0.500)
O (0.242, 0.242, 0.000)
O (0.317, 0.683, 0.229)
O (0.317, 0.683, 0.771)
O (0.683, 0.317, 0.229)
O (0.683, 0.317, 0.771)
O (0.758, 0.758, 0.000)
O (0.806, 0.806, 0.500)

Properties
total energy = -8.33 eV per atom
crystal system = orthorhombic
symmetry = No. 65

---

[4]
Here is a relaxed structure of HoPaCrO6 from Alexandria via LeMat-Bulk. Energies are from PBE+U.

Cell: 5.343 5.343 4.793 Å, 90.00 90.00 120.00°
Atoms (fractional coordinates):
Ho (0.000, 0.000, 0.000)
Pa (0.667, 0.333, 0.500)
Cr (0.333, 0.667, 0.000)
O (0.022, 0.372, 0.234)
O (0.022, 0.650, 0.766)
O (0.350, 0.372, 0.766)
O (0.350, 0.978, 0.234)
O (0.628, 0.650, 0.234)
O (0.628, 0.978, 0.766)

Properties
total energy = -8.54 eV per atom
crystal system = trigonal
symmetry = No. 149

---

[5]
Here is a relaxed structure of HoCr2PbO8 from Alexandria via LeMat-Bulk. Energies are from PBE+U.

Cell: 5.725 5.725 7.120 Å, 90.00 90.00 120.00°
Atoms (fractional coordinates):
Ho (0.000, 0.000, 0.000)
Cr (0.333, 0.667, 0.284)
Cr (0.667, 0.333, 0.716)
Pb (0.000, 0.000, 0.500)
O (0.169, 0.338, 0.209)
O (0.169, 0.831, 0.209)
O (0.333, 0.667, 0.514)
O (0.338, 0.169, 0.791)
O (0.662, 0.831, 0.209)
O (0.667, 0.333, 0.486)
O (0.831, 0.169, 0.791)
O (0.831, 0.662, 0.791)

Properties
total energy = -6.96 eV per atom
crystal system = trigonal
DOS(E_F) = 5.4 states/eV per cell
symmetry = No. 164

---

[6]
Here is a relaxed structure of PmHoCr2O8 from Alexandria via LeMat-Bulk. Energies are from PBE+U.

Cell: 6.049 6.049 6.049 Å, 105.93 105.93 116.82°
Atoms (fractional coordinates):
Pm (0.000, 0.000, 0.000)
Ho (0.750, 0.250, 0.500)
Cr (0.250, 0.750, 0.500)
Cr (0.500, 0.500, 0.000)
O (0.074, 0.394, 0.320)
O (0.074, 0.754, 0.680)
O (0.145, 0.331, 0.814)
O (0.246, 0.926, 0.320)
O (0.516, 0.331, 0.186)
O (0.606, 0.926, 0.680)
O (0.669, 0.484, 0.814)
O (0.669, 0.855, 0.186)

Properties
total energy = -7.65 eV per atom
crystal system = tetragonal
DOS(E_F) = 1.0 states/eV per cell
symmetry = No. 119

---

[7]
Here is a relaxed structure of PrHoCr2O8 from Alexandria via LeMat-Bulk. Energies are from PBE+U.

Cell: 6.089 6.089 6.089 Å, 105.88 105.88 116.93°
Atoms (fractional coordinates):
Pr (0.000, 0.000, 0.000)
Ho (0.750, 0.250, 0.500)
Cr (0.250, 0.750, 0.500)
Cr (0.500, 0.500, 0.000)
O (0.074, 0.396, 0.322)
O (0.074, 0.751, 0.678)
O (0.147, 0.333, 0.814)
O (0.249, 0.926, 0.322)
O (0.520, 0.333, 0.186)
O (0.604, 0.926, 0.678)
O (0.667, 0.480, 0.814)
O (0.667, 0.853, 0.186)

Properties
total energy = -7.63 eV per atom
crystal system = tetragonal
DOS(E_F) = 0.9 states/eV per cell
symmetry = No. 119

---

[8]
Here is a relaxed structure of RbHoCrO4 from Alexandria via LeMat-Bulk. Energies are from PBE+U.

Cell: 5.833 5.902 7.709 Å, 90.00 108.63 90.00°
Atoms (fractional coordinates):
Rb (0.200, 0.250, 0.435)
Rb (0.800, 0.750, 0.565)
Ho (0.309, 0.250, 0.961)
Ho (0.691, 0.750, 0.039)
Cr (0.233, 0.750, 0.156)
Cr (0.767, 0.250, 0.844)
O (0.022, 0.750, 0.935)
O (0.040, 0.750, 0.294)
O (0.457, 0.524, 0.169)
O (0.457, 0.976, 0.169)
O (0.543, 0.024, 0.831)
O (0.543, 0.476, 0.831)
O (0.960, 0.250, 0.706)
O (0.978, 0.250, 0.065)

Properties
total energy = -6.98 eV per atom
crystal system = monoclinic
DOS(E_F) = 0.0 states/eV per cell
symmetry = No. 11

---

[9]
Here is a relaxed structure of Rb2HoCrO4 from Alexandria via LeMat-Bulk. Energies are from PBE+U.

Cell: 5.734 3.351 6.737 Å, 90.00 106.81 90.00°
Atoms (fractional coordinates):
Rb (0.000, 0.000, 0.000)
Rb (0.500, 0.500, 0.000)
Ho (0.000, 0.500, 0.500)
Cr (0.500, 0.000, 0.500)
O (0.243, 0.000, 0.672)
O (0.295, 0.500, 0.333)
O (0.705, 0.500, 0.667)
O (0.757, 0.000, 0.328)

Properties
total energy = -6.36 eV per atom
crystal system = monoclinic
DOS(E_F) = 0.0 states/eV per cell
symmetry = No. 10

---

[10]
Here is a relaxed structure of HoCr2ReO8 from Alexandria via LeMat-Bulk. Energies are from PBE+U.

Cell: 4.718 6.352 4.724 Å, 90.00 90.27 90.00°
Atoms (fractional coordinates):
Ho (0.000, 0.000, 0.000)
Cr (0.500, 0.247, 0.500)
Cr (0.500, 0.753, 0.500)
Re (0.000, 0.500, 0.000)
O (0.198, 0.287, 0.197)
O (0.198, 0.713, 0.197)
O (0.289, 0.500, 0.709)
O (0.321, 0.000, 0.678)
O (0.679, 0.000, 0.322)
O (0.711, 0.500, 0.291)
O (0.802, 0.287, 0.803)
O (0.802, 0.713, 0.803)

Properties
total energy = -8.04 eV per atom
crystal system = monoclinic
DOS(E_F) = 0.1 states/eV per cell
symmetry = No. 10

---

[11]
Here is a relaxed structure of HoCrSbO6 from Alexandria via LeMat-Bulk. Energies are from PBE+U.

Cell: 5.425 5.425 8.563 Å, 90.00 90.00 120.00°
Atoms (fractional coordinates):
Ho (0.333, 0.667, 0.250)
Ho (0.667, 0.333, 0.750)
Cr (0.000, 0.000, 0.000)
Cr (0.000, 0.000, 0.500)
Sb (0.333, 0.667, 0.750)
Sb (0.667, 0.333, 0.250)
O (0.034, 0.340, 0.623)
O (0.034, 0.695, 0.877)
O (0.305, 0.340, 0.877)
O (0.305, 0.966, 0.623)
O (0.340, 0.034, 0.123)
O (0.340, 0.305, 0.377)
O (0.660, 0.695, 0.623)
O (0.660, 0.966, 0.877)
O (0.695, 0.034, 0.377)
O (0.695, 0.660, 0.123)
O (0.966, 0.305, 0.123)
O (0.966, 0.660, 0.377)

Properties
total energy = -6.99 eV per atom
crystal system = trigonal
DOS(E_F) = 5.9 states/eV per cell
symmetry = No. 163

---

[12]
Here is a relaxed structure of Ho2CrSbO7 from Alexandria via LeMat-Bulk. Energies are from PBE+U.

Cell: 7.257 7.257 7.257 Å, 120.23 119.45 90.28°
Atoms (fractional coordinates):
Ho (0.000, 0.000, 0.000)
Ho (0.500, 0.000, 0.000)
Ho (0.500, 0.000, 0.500)
Ho (0.500, 0.500, 0.500)
Cr (0.000, 0.000, 0.500)
Cr (0.000, 0.500, 0.000)
Sb (0.000, 0.500, 0.500)
Sb (0.500, 0.500, 0.000)
O (0.090, 0.420, 0.258)
O (0.090, 0.832, 0.670)
O (0.091, 0.841, 0.250)
O (0.332, 0.582, 0.750)
O (0.338, 0.168, 0.758)
O (0.338, 0.580, 0.170)
O (0.378, 0.128, 0.250)
O (0.622, 0.872, 0.750)
O (0.662, 0.420, 0.830)
O (0.662, 0.832, 0.242)
O (0.668, 0.418, 0.250)
O (0.909, 0.159, 0.750)
O (0.910, 0.168, 0.330)
O (0.910, 0.580, 0.742)

Properties
total energy = -7.66 eV per atom
crystal system = orthorhombic
DOS(E_F) = 0.0 states/eV per cell
symmetry = No. 74

---

[13]
Here is a relaxed structure of Ho2CrSiO6 from Alexandria via LeMat-Bulk. Energies are from PBE+U.

Cell: 5.107 5.107 4.726 Å, 90.00 90.00 90.00°
Atoms (fractional coordinates):
Ho (0.000, 0.500, 0.000)
Ho (0.500, 0.000, 0.000)
Cr (0.000, 0.000, 0.583)
Si (0.500, 0.500, 0.593)
O (0.000, 0.000, 0.130)
O (0.271, 0.271, 0.710)
O (0.271, 0.729, 0.710)
O (0.500, 0.500, 0.239)
O (0.729, 0.271, 0.710)
O (0.729, 0.729, 0.710)

Properties
total energy = -7.94 eV per atom
crystal system = tetragonal
symmetry = No. 99

---

[14]
Here is a relaxed structure of HoCr2SiO6 from Alexandria via LeMat-Bulk. Energies are from PBE+U.

Cell: 5.111 5.145 5.539 Å, 64.33 89.84 60.47°
Atoms (fractional coordinates):
Ho (0.000, 0.000, 0.000)
Cr (0.209, 0.579, 0.611)
Cr (0.714, 0.550, 0.160)
Si (0.521, 0.954, 0.554)
O (0.193, 0.024, 0.363)
O (0.318, 0.100, 0.783)
O (0.435, 0.392, 0.363)
O (0.580, 0.517, 0.813)
O (0.783, 0.787, 0.363)
O (0.888, 0.767, 0.807)

Properties
total energy = -7.90 eV per atom
crystal system = triclinic
DOS(E_F) = 0.0 states/eV per cell
symmetry = No. 1

---

[15]
Here is a relaxed structure of SmHoCr2O8 from Alexandria via LeMat-Bulk. Energies are from PBE+U.

Cell: 6.037 6.037 6.037 Å, 105.94 105.94 116.79°
Atoms (fractional coordinates):
Sm (0.000, 0.000, 0.000)
Ho (0.750, 0.250, 0.500)
Cr (0.250, 0.750, 0.500)
Cr (0.500, 0.500, 0.000)
O (0.074, 0.393, 0.319)
O (0.074, 0.755, 0.681)
O (0.144, 0.330, 0.814)
O (0.245, 0.926, 0.319)
O (0.515, 0.330, 0.186)
O (0.607, 0.926, 0.681)
O (0.670, 0.485, 0.814)
O (0.670, 0.856, 0.186)

Properties
total energy = -7.65 eV per atom
crystal system = tetragonal
DOS(E_F) = 1.0 states/eV per cell
symmetry = No. 119

---

[16]
Here is a relaxed structure of HoCr2SnO6 from Alexandria via LeMat-Bulk. Energies are from PBE+U.

Cell: 5.327 5.414 5.702 Å, 63.37 89.91 60.90°
Atoms (fractional coordinates):
Ho (0.000, 0.000, 0.000)
Cr (0.215, 0.573, 0.623)
Cr (0.721, 0.551, 0.156)
Sn (0.520, 0.965, 0.541)
O (0.143, 0.028, 0.362)
O (0.318, 0.111, 0.814)
O (0.429, 0.446, 0.356)
O (0.581, 0.491, 0.837)
O (0.823, 0.754, 0.354)
O (0.927, 0.732, 0.837)

Properties
total energy = -7.51 eV per atom
crystal system = triclinic
symmetry = No. 1

---

[17]
Here is a relaxed structure of SrHoCr2O8 from Alexandria via LeMat-Bulk. Energies are from PBE+U.

Cell: 6.106 6.106 6.106 Å, 105.93 105.93 116.81°
Atoms (fractional coordinates):
Sr (0.000, 0.000, 0.000)
Ho (0.250, 0.750, 0.500)
Cr (0.500, 0.500, 0.000)
Cr (0.750, 0.250, 0.500)
O (0.342, 0.150, 0.808)
O (0.342, 0.534, 0.192)
O (0.411, 0.084, 0.327)
O (0.466, 0.658, 0.808)
O (0.758, 0.084, 0.673)
O (0.850, 0.658, 0.192)
O (0.916, 0.242, 0.327)
O (0.916, 0.589, 0.673)

Properties
total energy = -7.20 eV per atom
crystal system = tetragonal
DOS(E_F) = 0.7 states/eV per cell
symmetry = No. 119

---

[18]
Here is a relaxed structure of HoTaCrO6 from Alexandria via LeMat-Bulk. Energies are from PBE+U.

Cell: 4.802 4.802 9.513 Å, 90.00 90.00 90.00°
Atoms (fractional coordinates):
Ho (0.000, 0.000, 0.000)
Ho (0.500, 0.500, 0.500)
Ta (0.000, 0.000, 0.339)
Ta (0.500, 0.500, 0.839)
Cr (0.000, 0.000, 0.671)
Cr (0.500, 0.500, 0.171)
O (0.177, 0.177, 0.508)
O (0.208, 0.208, 0.819)
O (0.214, 0.214, 0.189)
O (0.286, 0.714, 0.689)
O (0.292, 0.708, 0.319)
O (0.323, 0.677, 0.008)
O (0.677, 0.323, 0.008)
O (0.708, 0.292, 0.319)
O (0.714, 0.286, 0.689)
O (0.786, 0.786, 0.189)
O (0.792, 0.792, 0.819)
O (0.823, 0.823, 0.508)

Properties
total energy = -8.56 eV per atom
crystal system = tetragonal
DOS(E_F) = 0.0 states/eV per cell
symmetry = No. 102

---

[19]
Here is a relaxed structure of HoTaCr2O8 from Alexandria via LeMat-Bulk. Energies are from PBE+U.

Cell: 4.747 6.313 4.754 Å, 90.00 91.20 90.00°
Atoms (fractional coordinates):
Ho (0.000, 0.000, 0.000)
Ta (0.000, 0.500, 0.000)
Cr (0.500, 0.250, 0.500)
Cr (0.500, 0.750, 0.500)
O (0.206, 0.275, 0.204)
O (0.206, 0.725, 0.204)
O (0.306, 0.500, 0.692)
O (0.326, 0.000, 0.672)
O (0.674, 0.000, 0.328)
O (0.694, 0.500, 0.308)
O (0.794, 0.275, 0.796)
O (0.794, 0.725, 0.796)

Properties
total energy = -8.22 eV per atom
crystal system = monoclinic
DOS(E_F) = 3.0 states/eV per cell
symmetry = No. 10

---

[20]
Here is a relaxed structure of TbHoCr2O8 from Alexandria via LeMat-Bulk. Energies are from PBE+U.

Cell: 5.992 5.992 5.992 Å, 106.00 106.00 116.65°
Atoms (fractional coordinates):
Tb (0.000, 0.000, 0.000)
Ho (0.250, 0.750, 0.500)
Cr (0.500, 0.500, 0.000)
Cr (0.750, 0.250, 0.500)
O (0.326, 0.141, 0.815)
O (0.326, 0.511, 0.185)
O (0.391, 0.074, 0.317)
O (0.489, 0.674, 0.815)
O (0.758, 0.074, 0.683)
O (0.859, 0.674, 0.185)
O (0.926, 0.242, 0.317)
O (0.926, 0.609, 0.683)

Properties
total energy = -7.66 eV per atom
crystal system = tetragonal
DOS(E_F) = 1.2 states/eV per cell
symmetry = No. 119